Record 1
Computed, not measured: a geometry-optimized Na15LiHg4 structure at the PBE level of DFT.

Cell: 4.979 4.979 23.790 Å, 90.00 90.00 90.00°
Atoms (fractional coordinates):
Na1 0.000 0.000 0.000
Na2 0.000 0.000 0.203
Na3 0.000 0.000 0.401
Na4 0.000 0.000 0.599
Na5 0.000 0.000 0.797
Na6 0.000 0.500 0.105
Na7 0.000 0.500 0.301
Na8 0.000 0.500 0.500
Na9 0.000 0.500 0.699
Na10 0.000 0.500 0.895
Na11 0.500 0.000 0.105
Na12 0.500 0.000 0.301
Na13 0.500 0.000 0.500
Na14 0.500 0.000 0.699
Na15 0.500 0.000 0.895
Li1 0.500 0.500 0.000
Hg1 0.500 0.500 0.203
Hg2 0.500 0.500 0.400
Hg3 0.500 0.500 0.600
Hg4 0.500 0.500 0.797

Summary:
The symmetry is P4/mmm (123). For the energy of formation from the pure elements, the calculation gives -0.11 eV per atom. As for the total energy: -1.2509 eV/atom.

Record 2
Computed, not measured: a geometry-optimized Na3LiHg4 structure at the PBE level of DFT.

Cell: 3.348 6.519 19.137 Å, 90.00 90.00 90.00°
Atoms (fractional coordinates):
Na1 0.000 0.000 0.000
Na2 0.000 0.500 0.236
Na3 0.000 0.500 0.764
Na4 0.500 0.000 0.264
Na5 0.500 0.000 0.736
Na6 0.500 0.500 0.500
Li1 0.000 0.000 0.500
Li2 0.500 0.500 0.000
Hg1 0.000 0.253 0.381
Hg2 0.000 0.253 0.619
Hg3 0.000 0.747 0.381
Hg4 0.000 0.747 0.619
Hg5 0.500 0.247 0.119
Hg6 0.500 0.247 0.881
Hg7 0.500 0.753 0.119
Hg8 0.500 0.753 0.881

Summary:
The symmetry is Immm (71). For the energy of formation from the pure elements, the calculation gives -0.19 eV per atom. Its energy above the most stable polymorph in this dataset is 79 meV/atom. As for the total energy: -1.0789 eV/atom.